Computed, not measured: Tl3GaSe2O8 after structural relaxation at the GGA-PBE level of DFT.

* ΔE_f (raw): -0.782 eV per atom
* DOS(E_F): 0.00 states/eV/f.u.
* M_tot: 0.00 μB per atom

Cell: 6.2028 6.2028 7.9762 Å, 90.00 90.00 120.00°
Last column: nearest neighbours and their distance in Å.
Space group P-3m1 (No. 164)
Symmetry-distinct sites (fractional):
Tl  0.0000  0.0000  0.0000 x1  6 O 3.05
Tl  0.3333  0.6667  0.6787 x2  1 O 2.61
Ga  0.0000  0.0000  0.5000 x1  6 O 2.61
Se  0.3333  0.6667  0.2148 x2  4 O 1.67-1.70
O  0.1856  0.3712  0.2895 x6  1 Se 1.70
O  0.3333  0.6667  0.0060 x2  1 Se 1.67